Record 1
An optimized crystal structure of CaMg4Si2. Source: Alexandria via LeMat-Bulk, functional GGA-PBE.

Structure (extended XYZ):
```
14
Lattice="4.282 0.000 0.000 0.000 8.449 0.000 0.000 0.000 8.449" Properties=species:S:1:pos:R:3 pbc="T T T"
Si 2.141 2.468 2.468
Si 0.000 1.757 6.692
Si 2.141 5.981 5.981
Si 0.000 6.692 1.757
Mg 0.000 7.682 5.616
Mg 0.000 0.766 2.832
Mg 0.000 5.616 7.682
Mg 2.141 3.458 7.057
Mg 2.141 1.392 4.991
Mg 2.141 7.057 3.458
Mg 0.000 2.832 0.766
Mg 2.141 4.991 1.392
Ca 2.141 0.000 0.000
Ca 0.000 4.224 4.224
```

Properties
* space-group type: P4_2/mnm, No. 136
* ΔE_f (raw): -0.211 eV/atom
* DFT total energy: -0.21739 Ry/atom
* density: 2.1 g cm⁻³


Record 2
An optimized crystal structure of La2HoGaSe5. Source: Alexandria via LeMat-Bulk, functional GGA-PBE.

Structure (extended XYZ):
```
18
Lattice="-2.527 1.442 -2.903 -1.046 -9.126 -0.711 -9.420 0.424 8.410" Properties=species:S:1:pos:R:3 pbc="T T T"
Se -10.037 -2.412 4.630
Se -3.675 -2.549 -0.976
Se -11.012 -5.441 6.883
Se -4.458 -4.781 1.506
Se -0.918 -0.436 0.582
Se -8.792 0.890 5.186
Se -7.597 -4.789 4.235
Se -6.652 -1.609 2.082
Se -5.036 -8.113 0.355
Se -8.942 -6.965 1.416
La -3.418 -1.898 2.033
La -4.693 -5.444 -1.528
La -10.588 -5.317 3.667
La -7.018 -1.874 5.179
Ho -7.389 -4.295 1.389
Ho -10.272 -2.755 7.573
Ga -10.773 -0.001 6.467
Ga -6.485 -7.067 2.135
```

Properties
* space-group type: Cmc2_1, No. 36
* ΔE_f (raw): -1.609 eV/atom
* DFT total energy: -0.40312 Ry/atom
* density: 6.5 g cm⁻³